The following is a PBE calculation of Mg2Ti after structural relaxation, from Alexandria.

abc: 5.6001 5.6001 5.6001
angles: 60.00 60.00 60.00
Last column: nearest neighbours and their distance in Å.
Sites, in units of the cell vectors:
1 Mg 0.0000 0.0000 0.0000  6 Mg 2.80
2 Mg 0.0000 0.0000 0.5000  6 Mg 2.80
3 Mg 0.0000 0.5000 0.0000  6 Mg 2.80
4 Mg 0.5000 0.0000 0.0000  6 Mg 2.80
5 Ti 0.3750 0.3750 0.3750  12 Mg 3.28, 4 Ti 3.43
6 Ti 0.6250 0.6250 0.6250  12 Mg 3.28, 4 Ti 3.43

density of states at the Fermi level	0.8081	states/eV/atom
energy of formation	0.3200	eV per atom

***

The following is a PBE calculation of Ti5InRh6 after structural relaxation, from Alexandria.

abc: 4.5483 5.9673 6.8978
angles: 90.00 101.14 90.00
Last column: nearest neighbours and their distance in Å.
Sites, in units of the cell vectors:
1 Ti 0.0000 0.0000 0.0000  8 Rh 2.69-2.82, 2 Ti 2.92, 2 In 2.98
2 Ti 0.3178 0.0000 0.6702  8 Rh 2.63-2.73, 1 Ti 2.92
3 Ti 0.3212 0.5000 0.6721  8 Rh 2.65-2.76, 1 In 2.92
4 Ti 0.6788 0.5000 0.3279  8 Rh 2.65-2.76, 1 In 2.92
5 Ti 0.6822 0.0000 0.3298  8 Rh 2.63-2.73, 1 Ti 2.92
6 In 0.0000 0.5000 0.0000  8 Rh 2.75-2.83, 4 Ti 2.92-2.98
7 Rh 0.1925 0.2482 0.3500  7 Ti 2.63-2.82, 1 In 2.83
8 Rh 0.1925 0.7518 0.3500  7 Ti 2.63-2.82, 1 In 2.83
9 Rh 0.5000 0.2397 0.0000  6 Ti 2.68-2.73, 2 In 2.75, 1 Rh 2.86
10 Rh 0.5000 0.7603 0.0000  6 Ti 2.68-2.73, 2 In 2.75, 1 Rh 2.86
11 Rh 0.8075 0.2482 0.6500  7 Ti 2.63-2.82, 1 In 2.83
12 Rh 0.8075 0.7518 0.6500  7 Ti 2.63-2.82, 1 In 2.83

density of states at the Fermi level	0.8445	states/eV/atom
energy of formation	-0.7210	eV per atom

***

The following is a PBE calculation of HfZrScRe after structural relaxation, from Alexandria.

abc: 4.8086 4.8086 4.8086
angles: 60.00 60.00 60.00
Last column: nearest neighbours and their distance in Å.
Sites, in units of the cell vectors:
1 Hf 0.0000 0.0000 0.0000  4 Sc 2.94, 4 Re 2.94
2 Zr 0.5000 0.5000 0.5000  4 Re 2.94, 4 Sc 2.94
3 Sc 0.7500 0.7500 0.7500  4 Zr 2.94, 4 Hf 2.94
4 Re 0.2500 0.2500 0.2500  4 Zr 2.94, 4 Hf 2.94

density of states at the Fermi level	1.3439	states/eV/atom
energy of formation	-0.0743	eV per atom

***

The following is a PBE calculation of K3Dy2PbS6 after structural relaxation, from Alexandria.

abc: 7.0937 7.0937 7.7549
angles: 98.77 98.77 119.99
Last column: nearest neighbours and their distance in Å.
Sites, in units of the cell vectors:
1 K 0.0000 0.0000 0.0000  6 S 3.16-3.25
2 K 0.3367 0.6633 0.0000  6 S 3.18-3.25
3 K 0.6633 0.3367 0.0000  6 S 3.18-3.25
4 Dy 0.1670 0.8330 0.5000  6 S 2.77
5 Dy 0.8330 0.1670 0.5000  6 S 2.77
6 Pb 0.5000 0.5000 0.5000  6 S 2.88
7 S 0.0866 0.4315 0.2949  2 Dy 2.77, 1 Pb 2.88
8 S 0.2231 0.2231 0.7045  2 Dy 2.77, 1 Pb 2.88
9 S 0.4315 0.0866 0.2949  2 Dy 2.77, 1 Pb 2.88
10 S 0.5685 0.9134 0.7051  2 Dy 2.77, 1 Pb 2.88
11 S 0.7769 0.7769 0.2955  2 Dy 2.77, 1 Pb 2.88
12 S 0.9134 0.5685 0.7051  2 Dy 2.77, 1 Pb 2.88

E_form (uncorrected)	-1.4656	eV/atom
density of states at the Fermi level	0.3771	states/eV/atom

***

The following is a PBE calculation of CePmSb2 after structural relaxation, from Alexandria.

abc: 4.4878 4.4878 14.7064
angles: 90.00 90.00 120.00
Last column: nearest neighbours and their distance in Å.
Sites, in units of the cell vectors:
1 Ce 0.0000 0.0000 0.0000  6 Sb 3.15
2 Ce 0.0000 0.0000 0.5000  6 Sb 3.15
3 Pm 0.3333 0.6667 0.2500  6 Sb 3.20
4 Pm 0.6667 0.3333 0.7500  6 Sb 3.20
5 Sb 0.3333 0.6667 0.6222  3 Ce 3.15, 3 Pm 3.20
6 Sb 0.3333 0.6667 0.8778  3 Ce 3.15, 3 Pm 3.20
7 Sb 0.6667 0.3333 0.1222  3 Ce 3.15, 3 Pm 3.20
8 Sb 0.6667 0.3333 0.3778  3 Ce 3.15, 3 Pm 3.20

E_form (uncorrected)	-1.0759	eV/atom
E above lowest polymorph	0.044	eV per atom
density of states at the Fermi level	1.5595	states/eV/atom

***

The following is a PBE calculation of Na3HoIn2O6 after structural relaxation, from Alexandria.

abc: 5.7428 5.7428 5.9043
angles: 99.27 99.27 120.04
Last column: nearest neighbours and their distance in Å.
Sites, in units of the cell vectors:
1 Na 0.0000 0.0000 0.0000  6 O 2.46-2.51
2 Na 0.3282 0.6718 0.0000  6 O 2.44-2.54
3 Na 0.6718 0.3282 0.0000  6 O 2.44-2.54
4 Ho 0.5000 0.5000 0.5000  6 O 2.29
5 In 0.1665 0.8335 0.5000  6 O 2.24-2.25
6 In 0.8335 0.1665 0.5000  6 O 2.24-2.25
7 O 0.0898 0.4287 0.2857  2 In 2.24-2.25, 1 Ho 2.29, 3 Na 2.44-2.51
8 O 0.2325 0.2325 0.7157  2 In 2.25, 1 Ho 2.29, 1 Na 2.46
9 O 0.4287 0.0898 0.2857  2 In 2.24-2.25, 1 Ho 2.29, 3 Na 2.44-2.51
10 O 0.5713 0.9102 0.7143  2 In 2.24-2.25, 1 Ho 2.29, 3 Na 2.44-2.51
11 O 0.7675 0.7675 0.2843  2 In 2.25, 1 Ho 2.29, 1 Na 2.46
12 O 0.9102 0.5713 0.7143  2 In 2.24-2.25, 1 Ho 2.29, 3 Na 2.44-2.51

E_form (uncorrected)	-2.0139	eV/atom
density of states at the Fermi level	0.0000	states/eV/atom

***

The following is a PBE calculation of Sm6Ho4Zr after structural relaxation, from Alexandria.

abc: 8.7221 8.7221 9.1744
angles: 90.00 90.00 90.00
Last column: nearest neighbours and their distance in Å.
Sites, in units of the cell vectors:
1 Sm 0.0000 0.0000 0.1766  1 Zr 2.97, 1 Sm 3.24
2 Sm 0.0000 0.0000 0.8234  1 Zr 2.97, 1 Sm 3.24
3 Sm 0.1483 0.3448 0.5000  1 Zr 3.27, 6 Ho 3.38-3.49
4 Sm 0.1552 0.3517 0.0000  1 Zr 3.27, 6 Ho 3.38-3.49
5 Sm 0.3448 0.8517 0.5000  1 Zr 3.27, 6 Ho 3.38-3.49
6 Sm 0.3517 0.8448 0.0000  1 Zr 3.27, 6 Ho 3.38-3.49
7 Sm 0.5000 0.5000 0.3234  1 Zr 2.97, 1 Sm 3.24
8 Sm 0.5000 0.5000 0.6766  1 Zr 2.97, 1 Sm 3.24
9 Sm 0.6483 0.1552 0.0000  1 Zr 3.27, 6 Ho 3.38-3.49
10 Sm 0.6552 0.1483 0.5000  1 Zr 3.27, 6 Ho 3.38-3.49
11 Sm 0.8448 0.6483 0.0000  1 Zr 3.27, 6 Ho 3.38-3.49
12 Sm 0.8517 0.6552 0.5000  1 Zr 3.27, 6 Ho 3.38-3.49
13 Ho 0.1465 0.6465 0.2500  8 Sm 3.38-3.49, 1 Ho 3.61
14 Ho 0.1465 0.6465 0.7500  8 Sm 3.38-3.49, 1 Ho 3.61
15 Ho 0.3535 0.1465 0.2500  8 Sm 3.38-3.49, 1 Ho 3.61
16 Ho 0.3535 0.1465 0.7500  8 Sm 3.38-3.49, 1 Ho 3.61
17 Ho 0.6465 0.8535 0.2500  8 Sm 3.38-3.49, 1 Ho 3.61
18 Ho 0.6465 0.8535 0.7500  8 Sm 3.38-3.49, 1 Ho 3.61
19 Ho 0.8535 0.3535 0.2500  8 Sm 3.38-3.49, 1 Ho 3.61
20 Ho 0.8535 0.3535 0.7500  8 Sm 3.38-3.49, 1 Ho 3.61
21 Zr 0.0000 0.0000 0.5000  6 Sm 2.97-3.27
22 Zr 0.5000 0.5000 0.0000  6 Sm 2.97-3.27

density of states at the Fermi level	1.6120	states/eV/atom
energy of formation	0.1594	eV per atom

***

The following is a PBE calculation of Ge3IrPd after structural relaxation, from Alexandria.

abc: 4.7701 4.7701 4.7701
angles: 90.00 90.00 90.00
Last column: nearest neighbours and their distance in Å.
Sites, in units of the cell vectors:
1 Ge 0.0000 0.0000 0.5000  2 Ir 2.39
2 Ge 0.0000 0.5000 0.0000  2 Ir 2.39
3 Ge 0.5000 0.0000 0.0000  2 Ir 2.39
4 Ir 0.0000 0.0000 0.0000  6 Ge 2.39
5 Pd 0.5000 0.5000 0.5000  12 Ge 3.37

E above lowest polymorph	0.000	eV per atom
density of states at the Fermi level	1.3240	states/eV/atom
energy of formation	0.4058	eV per atom

***

The following is a PBE calculation of NpCdSnBi after structural relaxation, from Alexandria.

abc: 4.3855 4.8223 4.9331
angles: 90.00 90.00 90.00
Last column: nearest neighbours and their distance in Å.
Sites, in units of the cell vectors:
1 Np 0.0000 0.0000 0.0000  4 Bi 3.26, 4 Sn 3.30, 4 Cd 3.45
2 Cd 0.0000 0.5000 0.5000  4 Sn 3.26, 4 Bi 3.30, 4 Np 3.45
3 Sn 0.5000 0.0000 0.5000  4 Cd 3.26, 4 Np 3.30, 4 Bi 3.45
4 Bi 0.5000 0.5000 0.0000  4 Np 3.26, 4 Cd 3.30, 4 Sn 3.45

density of states at the Fermi level	2.7926	states/eV/atom
energy of formation	-0.0455	eV per atom

***

The following is a PBE calculation of K2RbHg4 after structural relaxation, from Alexandria.

abc: 10.9005 10.9005 7.5298
angles: 99.23 99.23 37.16
Last column: nearest neighbours and their distance in Å.
Sites, in units of the cell vectors:
1 K 0.1090 0.2763 0.1581  7 Hg 3.60-3.75, 2 K 3.94
2 K 0.2763 0.1090 0.6581  7 Hg 3.60-3.75, 2 K 3.94
3 K 0.7237 0.8910 0.3419  7 Hg 3.60-3.75, 2 K 3.94
4 K 0.8910 0.7237 0.8419  7 Hg 3.60-3.75, 2 K 3.94
5 Rb 0.2387 0.7613 0.7500  10 Hg 3.78-4.12
6 Rb 0.7613 0.2387 0.2500  10 Hg 3.78-4.12
7 Hg 0.1824 0.6664 0.2226  3 Hg 3.08-3.14
8 Hg 0.2668 0.4129 0.4913  2 Hg 3.12-3.14
9 Hg 0.3336 0.8176 0.2774  3 Hg 3.08-3.14
10 Hg 0.4129 0.2668 0.9913  2 Hg 3.12-3.14
11 Hg 0.5871 0.7332 0.0087  2 Hg 3.12-3.14
12 Hg 0.6664 0.1824 0.7226  3 Hg 3.08-3.14
13 Hg 0.7332 0.5871 0.5087  2 Hg 3.12-3.14
14 Hg 0.8176 0.3336 0.7774  3 Hg 3.08-3.14

density of states at the Fermi level	0.4695	states/eV/atom
energy of formation	-0.2303	eV per atom

***

The following is a PBE calculation of Fe4ReTc after structural relaxation, from Alexandria.

abc: 4.6632 4.6632 4.6632
angles: 60.00 60.00 60.00
Last column: nearest neighbours and their distance in Å.
Sites, in units of the cell vectors:
1 Fe 0.1250 0.1250 0.1250  6 Fe 2.33
2 Fe 0.1250 0.1250 0.6250  6 Fe 2.33
3 Fe 0.1250 0.6250 0.1250  6 Fe 2.33
4 Fe 0.6250 0.1250 0.1250  6 Fe 2.33
5 Re 0.5000 0.5000 0.5000  12 Fe 2.73, 4 Tc 2.86
6 Tc 0.7500 0.7500 0.7500  12 Fe 2.73, 4 Re 2.86

density of states at the Fermi level	1.0627	states/eV/atom
energy of formation	0.0051	eV per atom

***

The following is a PBE calculation of Nb3VW after structural relaxation, from Alexandria.

abc: 5.0234 5.3952 7.4049
angles: 108.52 109.75 90.16
Last column: nearest neighbours and their distance in Å.
Sites, in units of the cell vectors:
1 Nb 0.0312 0.2836 0.0630  4 Nb 2.76-2.95, 1 V 2.92
2 Nb 0.3970 0.3577 0.7957  3 Nb 2.57-2.83, 2 W 2.74
3 Nb 0.3995 0.8818 0.7956  3 Nb 2.57-2.83, 2 W 2.68
4 Nb 0.6005 0.1182 0.2044  3 Nb 2.57-2.83, 2 W 2.68
5 Nb 0.6030 0.6423 0.2043  3 Nb 2.57-2.83, 2 W 2.74
6 Nb 0.9688 0.7164 0.9370  4 Nb 2.76-2.95, 1 V 2.92
7 V 0.1900 0.9490 0.3811  7 Nb 2.92-3.08, 2 V 2.95-2.96, 4 W 3.07-3.09
8 V 0.8100 0.0510 0.6189  7 Nb 2.92-3.08, 2 V 2.95-2.96, 4 W 3.07-3.09
9 W 0.0000 0.5000 0.5000  2 W 2.51, 4 Nb 2.68-2.74
10 W 0.5000 0.5000 0.5000  2 W 2.51, 4 Nb 2.68-2.74

E above lowest polymorph	0.000	eV per atom
density of states at the Fermi level	1.1803	states/eV/atom
energy of formation	0.2809	eV per atom